Entry from Alexandria via LeMat-Bulk: a relaxed SrCu10Rh2 crystal (PBE).

E_tot = -57.41 eV/cell

Lattice parameters (Å, degrees): 4.9722 6.5923 6.7064 81.96 68.24 67.84
Last column: magnetic moment on the atom in μB.
Positions (direct):
Sr 0.0000 0.0000 0.0000  0.00
Cu 0.3555 0.6455 0.6436  0.01
Cu 0.6445 0.3545 0.3564  0.01
Cu 0.0010 0.3545 0.6436  0.01
Cu 0.9990 0.6455 0.3564  0.01
Cu 0.0000 0.0000 0.5000  0.00
Cu 0.5000 0.0000 0.5000  0.00
Cu 0.2588 0.2335 0.2489  0.00
Cu 0.7412 0.7665 0.7511  0.00
Cu 0.4923 0.7665 0.2489  0.00
Cu 0.5077 0.2335 0.7511  0.00
Rh 0.0000 0.5000 0.0000  0.25
Rh 0.5000 0.5000 0.0000  0.25

Entry from Alexandria via LeMat-Bulk: a relaxed SrCuRh2 crystal (PBE).

E_tot = -19.50 eV/cell
energy relative to the lowest polymorph listed for this composition = 382 meV per atom

Lattice parameters (Å, degrees): 4.8813 4.8813 4.8813 127.03 127.03 78.21
Last column: magnetic moment on the atom in μB.
Positions (direct):
Cu 0.7500 0.2500 0.5000  0.02
Rh 0.0000 0.0000 0.0000  0.44
Rh 0.2500 0.7500 0.5000  0.44
Sr 0.5000 0.5000 0.0000  -0.01

Entry from Alexandria via LeMat-Bulk: a relaxed Sr2Cu9Rh crystal (PBE).

E_tot = -46.09 eV/cell

Lattice parameters (Å, degrees): 5.1300 5.1300 8.9508 73.35 73.35 60.00
Positions (direct):
Sr 0.8685 0.8685 0.3944
Sr 0.1315 0.1315 0.6056
Cu 0.6676 0.6676 0.9973
Cu 0.3324 0.3324 0.0027
Cu 0.5000 0.5000 0.5000
Cu 0.4243 0.4243 0.2297
Cu 0.9217 0.4243 0.2297
Cu 0.4243 0.9217 0.2297
Cu 0.5757 0.5757 0.7703
Cu 0.5757 0.0783 0.7703
Cu 0.0783 0.5757 0.7703
Rh 0.0000 0.0000 0.0000

> E_tot of number 1 (SrCu10Rh2)?

-57.41 eV/cell